# 1
Compound: NaZr2Mn
Source: Alexandria via LeMat-Bulk
Functional: GGA-PBE
Structure: optimized geometry

Computed properties:
Uncorrected energy (eV per atom): -5.76
DOS at the Fermi energy (states/eV/f.u.): 3.32
DFT formation energy (eV/atom): 1.14
Polymorph energy (0 for the lowest one) (eV/atom): 0.653
Space-group type: I4_1/amd

Cell: 7.3354 7.3354 7.3354 Å, 120.18 120.18 89.69°
Closest atoms and distances in Å follow each position.
Sites, in units of the cell vectors:
Na 0.3750 0.6250 0.7500  12 Zr 4.29-4.31, 4 Mn 4.49, 4 Na 4.49
Na 0.6250 0.3750 0.2500  12 Zr 4.29-4.31, 4 Mn 4.49, 4 Na 4.49
Zr 0.0000 0.0000 0.0000  2 Mn 2.24
Zr 0.0000 0.0000 0.5000  2 Mn 2.24
Zr 0.0000 0.5000 0.0000  2 Mn 2.24
Zr 0.5000 0.0000 0.5000  2 Mn 2.24
Mn 0.1250 0.8750 0.2500  4 Zr 2.24
Mn 0.8750 0.1250 0.7500  4 Zr 2.24

# 2
Compound: NaZrMn2
Source: Alexandria via LeMat-Bulk
Functional: GGA-PBE
Structure: optimized geometry

Computed properties:
Uncorrected energy (eV per atom): -6.42
DOS at the Fermi energy (states/eV/f.u.): 3.13
DFT formation energy (eV/atom): 0.63
Polymorph energy (0 for the lowest one) (eV/atom): 0.000
Space-group type: Fm-3m

Cell: 4.7188 4.7188 4.7188 Å, 60.00 60.00 60.00°
Closest atoms and distances in Å follow each position.
Sites, in units of the cell vectors:
Na 0.0000 0.0000 0.0000  8 Mn 2.89
Zr 0.5000 0.5000 0.5000  8 Mn 2.89
Mn 0.2500 0.2500 0.2500  4 Zr 2.89, 4 Na 2.89
Mn 0.7500 0.7500 0.7500  4 Zr 2.89, 4 Na 2.89

# 3
Compound: MnNb
Source: Alexandria via LeMat-Bulk
Functional: GGA-PBE
Structure: optimized geometry

Computed properties:
Uncorrected energy (eV per atom): -9.06
DOS at the Fermi energy (states/eV/f.u.): 1.93
DFT formation energy (eV/atom): 0.56
Space-group type: P6_3mc

Cell: 2.8280 2.8280 9.7260 Å, 90.00 90.00 120.00°
Closest atoms and distances in Å follow each position.
Sites, in units of the cell vectors:
Mn 0.3333 0.6667 0.0000  4 Nb 2.58-2.80, 6 Mn 2.83
Mn 0.6667 0.3333 0.5000  4 Nb 2.58-2.80, 6 Mn 2.83
Nb 0.3333 0.6667 0.2656  4 Mn 2.58-2.80, 6 Nb 2.83
Nb 0.6667 0.3333 0.7656  4 Mn 2.58-2.80, 6 Nb 2.83

# 4
Compound: Mn6Nb
Source: Alexandria via LeMat-Bulk
Functional: GGA-PBE
Structure: optimized geometry

Computed properties:
Uncorrected energy (eV per atom): -8.14
DOS at the Fermi energy (states/eV/f.u.): 12.65
DFT formation energy (eV/atom): 1.16
Polymorph energy (0 for the lowest one) (eV/atom): 1.160
Space-group type: Im-3m

Cell: 5.1539 5.1539 5.1539 Å, 109.47 109.47 109.47°
Closest atoms and distances in Å follow each position.
Sites, in units of the cell vectors:
Mn 0.2500 0.5000 0.7500  4 Mn 2.10
Mn 0.2500 0.7500 0.5000  4 Mn 2.10
Mn 0.5000 0.2500 0.7500  4 Mn 2.10
Mn 0.5000 0.7500 0.2500  4 Mn 2.10
Mn 0.7500 0.2500 0.5000  4 Mn 2.10
Mn 0.7500 0.5000 0.2500  4 Mn 2.10
Nb 0.0000 0.0000 0.0000  24 Mn 3.33

# 5
Compound: MnNb
Source: Alexandria via LeMat-Bulk
Functional: GGA-PBE
Structure: optimized geometry

Computed properties:
Uncorrected energy (eV per atom): -9.38
DOS at the Fermi energy (states/eV/f.u.): 2.57
DFT formation energy (eV/atom): 0.24
Space-group type: I4/mmm

Cell: 6.7362 6.7362 6.7362 Å, 92.47 92.47 156.05°
Closest atoms and distances in Å follow each position.
Sites, in units of the cell vectors:
Mn 0.0000 0.3534 0.3534  4 Mn 2.39
Mn 0.0000 0.6466 0.6466  4 Mn 2.39
Mn 0.3534 0.0000 0.3534  4 Mn 2.39
Mn 0.6466 0.0000 0.6466  4 Mn 2.39
Nb 0.3425 0.3425 0.6851  4 Mn 2.73, 6 Nb 2.80-2.94
Nb 0.3425 0.6575 0.0000  4 Mn 2.73, 6 Nb 2.80-2.94
Nb 0.6575 0.3425 0.0000  4 Mn 2.73, 6 Nb 2.80-2.94
Nb 0.6575 0.6575 0.3149  4 Mn 2.73, 6 Nb 2.80-2.94

# 6
Compound: Mn6Nb
Source: Alexandria via LeMat-Bulk
Functional: GGA-PBE
Structure: optimized geometry

Computed properties:
Uncorrected energy (eV per atom): -7.65
DOS at the Fermi energy (states/eV/f.u.): 4.37
DFT formation energy (eV/atom): 1.65
Polymorph energy (0 for the lowest one) (eV/atom): 1.655
Space-group type: Pm-3m

Cell: 5.0544 5.0544 5.0544 Å, 90.00 90.00 90.00°
Closest atoms and distances in Å follow each position.
Sites, in units of the cell vectors:
Mn 0.0000 0.0000 0.3125  1 Mn 1.90
Mn 0.0000 0.0000 0.6875  1 Mn 1.90
Mn 0.0000 0.3125 0.0000  1 Mn 1.90
Mn 0.0000 0.6875 0.0000  1 Mn 1.90
Mn 0.3125 0.0000 0.0000  1 Mn 1.90
Mn 0.6875 0.0000 0.0000  1 Mn 1.90
Nb 0.5000 0.5000 0.5000  24 Mn 3.70

uncorrected energy of number 3 (MnNb)? -9.06 eV per atom